Entry from Alexandria via LeMat-Bulk: TeI2OF after structural relaxation (PBE).

Values from the calculation:
- Energy: -2.76 eV per atom
- Formation energy from raw total energies: -0.15 eV per atom
- Energy above the lowest structure with this stoichiometry: 0 meV per atom

Cell and atoms, written as CIF:
```
data_TeI2OF
_cell_length_a 5.965
_cell_length_b 5.965
_cell_length_c 4.012
_cell_angle_alpha 90.00
_cell_angle_beta 90.00
_cell_angle_gamma 90.00
_space_group_name_H-M_alt 'P 1'
_space_group_IT_number 1
loop_
_space_group_symop_operation_xyz
'x,y,z'
loop_
_atom_site_label
_atom_site_fract_x
_atom_site_fract_y
_atom_site_fract_z
_atom_site_occupancy
Te1 0.000 0.000 0.000 1
I1 0.000 0.500 0.000 1
I2 0.500 0.000 0.000 1
O1 0.000 0.000 0.500 1
F1 0.500 0.500 0.500 1
```



Entry from Alexandria via LeMat-Bulk: TiIO2F after structural relaxation (PBE).

Values from the calculation:
- Energy: -4.19 eV per atom
- Formation energy from raw total energies: 0.05 eV per atom

Cell and atoms, written as CIF:
```
data_TiIO2F
_cell_length_a 4.031
_cell_length_b 4.031
_cell_length_c 5.686
_cell_angle_alpha 90.00
_cell_angle_beta 90.00
_cell_angle_gamma 90.00
_space_group_name_H-M_alt 'P 1'
_space_group_IT_number 1
loop_
_space_group_symop_operation_xyz
'x,y,z'
loop_
_atom_site_label
_atom_site_fract_x
_atom_site_fract_y
_atom_site_fract_z
_atom_site_occupancy
Ti1 0.000 0.000 0.000 1
I1 0.500 0.500 0.500 1
O1 0.000 0.500 0.500 1
O2 0.500 0.000 0.500 1
F1 0.500 0.500 0.000 1
```



Entry from Alexandria via LeMat-Bulk: TiIO2F after structural relaxation (PBE).

Values from the calculation:
- Energy: -5.75 eV per atom
- Formation energy from raw total energies: -1.51 eV per atom

Cell and atoms, written as CIF:
```
data_TiIO2F
_cell_length_a 3.759
_cell_length_b 3.759
_cell_length_c 6.029
_cell_angle_alpha 90.00
_cell_angle_beta 90.00
_cell_angle_gamma 90.00
_space_group_name_H-M_alt 'P 1'
_space_group_IT_number 1
loop_
_space_group_symop_operation_xyz
'x,y,z'
loop_
_atom_site_label
_atom_site_fract_x
_atom_site_fract_y
_atom_site_fract_z
_atom_site_occupancy
Ti1 0.000 0.000 0.000 1
I1 0.000 0.000 0.500 1
O1 0.000 0.500 0.000 1
O2 0.500 0.000 0.000 1
F1 0.500 0.500 0.500 1
```



- The highest formation energy from raw total energies belongs to which entry?
  number 2



- The highest formation energy from raw total energies belongs to which entry?
  number 2



- The highest energy belongs to which entry?
  TeI2OF